# PmPr5Sm3

A relaxed PmPr5Sm3 crystal (PBE, Alexandria via LeMat-Bulk). Values from VASP.

```
&SYSTEM
  ibrav = 0, nat = 18, ntyp = 3
/
ATOMIC_SPECIES
Pm 145.00 Pm.upf
Pr 140.91 Pr.upf
Sm 150.36 Sm.upf
ATOMIC_POSITIONS angstrom
Pm 5.682 2.512 7.446
Pm 8.804 -2.512 2.482
Pr 5.636 1.948 1.633
Pr 2.159 1.167 8.383
Pr 11.973 1.948 3.331
Pr 8.804 0.553 2.482
Pr 9.206 1.167 6.509
Pr 5.281 -1.167 3.419
Pr 5.682 -0.553 7.446
Pr 2.514 -1.948 6.597
Pr 12.328 -1.167 1.545
Pr 8.851 -1.948 8.295
Sm 0.000 0.000 0.000
Sm -3.122 0.000 4.964
Sm 3.738 1.713 4.704
Sm 13.870 1.713 0.260
Sm 0.616 -1.713 9.668
Sm 10.748 -1.713 5.224
CELL_PARAMETERS angstrom
10.365 -3.172 0.000
10.365 3.172 0.000
-6.244 0.000 9.928
```

## Properties
Crystal system ... monoclinic
Density ... 6.62 Mg/m³
ΔE_f ... 2.3 eV/f.u.
Polymorph energy (0 for the lowest one) ... 0 meV per atom
Electronic total energy ... -4.499 eV per atom

---

# Pm8Pr6Sm

A relaxed Pm8Pr6Sm crystal (PBE, Alexandria via LeMat-Bulk). Values from VASP.

```
&SYSTEM
  ibrav = 0, nat = 15, ntyp = 3
/
ATOMIC_SPECIES
Pm 145.00 Pm.upf
Pr 140.91 Pr.upf
Sm 150.36 Sm.upf
ATOMIC_POSITIONS angstrom
Pm -3.322 6.230 1.097
Pm 1.074 2.338 1.097
Pm 2.562 0.238 5.618
Pm 0.000 5.553 0.744
Pm 4.809 2.777 5.970
Pm 2.247 8.091 1.097
Pm 3.735 5.992 5.618
Pm 8.131 2.100 5.618
Pr -2.324 5.423 4.447
Pr 1.275 3.606 4.447
Pr 3.760 0.699 2.268
Pr 1.049 7.631 4.447
Pr 3.535 4.724 2.268
Pr 7.133 2.907 2.268
Sm 0.000 0.000 3.357
CELL_PARAMETERS angstrom
9.619 0.000 0.000
-4.809 8.330 0.000
0.000 0.000 6.714
```

## Properties
Crystal system ... trigonal
Density ... 6.65 Mg/m³
ΔE_f ... 2.4 eV/f.u.
Polymorph energy (0 for the lowest one) ... 21 meV per atom
Electronic total energy ... -4.597 eV per atom

---

> Among the records above, which one has the highest density?

Pm8Pr6Sm

---

> Look up the polymorph energy (0 for the lowest one) of the first one.

0 meV per atom

---

> Which formula does entry 2 have?

Pm8Pr6Sm

---

> What is the formula in the first record?

PmPr5Sm3